# MgZrSi2 | Alexandria | GGA-PBE | optimized geometry
data_MgZrSi2
_chemical_formula_sum 'Mg2 Zr2 Si4'
_space_group_name_H-M_alt 'I 4/m m m'
_space_group_IT_number 139
_space_group_name_Hall '-I 4 2'
_cell_length_a 4.0305
_cell_length_b 4.0305
_cell_length_c 8.3248
_cell_angle_alpha 90.00
_cell_angle_beta 90.00
_cell_angle_gamma 90.00
loop_
_atom_site_label
_atom_site_type_symbol
_atom_site_fract_x
_atom_site_fract_y
_atom_site_fract_z
_atom_site_occupancy
Mg1 Mg 0.0000 0.0000 0.0000 1
Zr1 Zr 0.0000 0.0000 0.5000 1
Si1 Si 0.0000 0.5000 0.2500 1
# E_form (uncorrected) = -0.278 eV per atom
# DFT total energy = -5.525 eV/atom

# AcTmIn6 | Alexandria | GGA-PBE | optimized geometry
data_AcTmIn6
_chemical_formula_sum 'Ac1 Tm1 In6'
_space_group_name_H-M_alt 'P 4/m m m'
_space_group_IT_number 123
_space_group_name_Hall '-P 4 2'
_cell_length_a 4.7876
_cell_length_b 4.7876
_cell_length_c 9.4933
_cell_angle_alpha 90.00
_cell_angle_beta 90.00
_cell_angle_gamma 90.00
loop_
_atom_site_label
_atom_site_type_symbol
_atom_site_fract_x
_atom_site_fract_y
_atom_site_fract_z
_atom_site_occupancy
Ac1 Ac 0.0000 0.0000 0.0000 1
Tm1 Tm 0.0000 0.0000 0.5000 1
In1 In 0.0000 0.5000 0.2650 1
In2 In 0.5000 0.5000 0.0000 1
In3 In 0.5000 0.5000 0.5000 1
# E_form = -36 kJ per mole of atoms
# DFT total energy = -3.501 eV/atom

# LaNdAgPb | Alexandria | GGA-PBE | optimized geometry
data_LaNdAgPb
_chemical_formula_sum 'La4 Nd4 Ag4 Pb4'
_space_group_name_H-M_alt 'F -4 3 m'
_space_group_IT_number 216
_space_group_name_Hall 'F -4 2 3'
_cell_length_a 7.7810
_cell_length_b 7.7810
_cell_length_c 7.7810
_cell_angle_alpha 90.00
_cell_angle_beta 90.00
_cell_angle_gamma 90.00
loop_
_atom_site_label
_atom_site_type_symbol
_atom_site_fract_x
_atom_site_fract_y
_atom_site_fract_z
_atom_site_occupancy
La1 La 0.0000 0.0000 0.0000 1
Nd1 Nd 0.0000 0.0000 0.5000 1
Ag1 Ag 0.2500 0.2500 0.7500 1
Pb1 Pb 0.2500 0.2500 0.2500 1
# E_form = -42 kJ per mole of atoms
# DFT total energy = -4.500 eV/atom